# PBE with a Hubbard U RbTl2VO4, optimized geometry
data_RbTl2VO4
_chemical_formula_sum 'Rb2 Tl4 V2 O8'
_space_group_name_H-M_alt 'P m n 21'
_space_group_IT_number 31
_space_group_name_Hall 'P 2ac -2'
_cell_length_a 8.123
_cell_length_b 7.939
_cell_length_c 5.901
_cell_angle_alpha 90.00
_cell_angle_beta 90.00
_cell_angle_gamma 90.00
loop_
_atom_site_label
_atom_site_type_symbol
_atom_site_fract_x
_atom_site_fract_y
_atom_site_fract_z
Rb1 Rb 0.000 0.126 0.000
Tl1 Tl 0.249 0.319 0.496
V1 V 0.000 0.867 0.506
O1 O 0.000 0.089 0.493
O2 O 0.000 0.806 0.795
O3 O 0.175 0.792 0.370
# mass density	5.32	g cm⁻³
# VASP energy	-90.3	eV/cell